1.
Density functional theory data (PBE) for Dy5Ir2Pt after structural relaxation.

## Properties
Formation enthalpy at 0 K   -0.861 eV per atom
Magnetization   0.00 μB per formula unit

The structure in CIF format:
```
data_Dy5Ir2Pt
_symmetry_space_group_name_H-M 'I 4/m c m'
_symmetry_Int_Tables_number 140
_symmetry_space_group_name_Hall '-I 4 2c'
_cell_length_a 7.506
_cell_length_b 7.506
_cell_length_c 13.571
_cell_angle_alpha 90.00
_cell_angle_beta 90.00
_cell_angle_gamma 90.00
loop_
_atom_site_label
_atom_site_type_symbol
_atom_site_fract_x
_atom_site_fract_y
_atom_site_fract_z
Dy1 Dy 0.000 0.000 0.000
Dy2 Dy 0.168 0.332 0.140
Ir1 Ir 0.133 0.367 0.500
Pt1 Pt 0.000 0.000 0.250
```

---

2.
Density functional theory data (PBE) for TmCd2Au after structural relaxation.

## Properties
Formation enthalpy at 0 K   0.115 eV per atom
Magnetization   0.00 μB per formula unit

The structure in CIF format:
```
data_TmCd2Au
_symmetry_space_group_name_H-M 'R -3 m'
_symmetry_Int_Tables_number 166
_symmetry_space_group_name_Hall '-R 3 2"'
_cell_length_a 3.1926
_cell_length_b 3.1926
_cell_length_c 32.4678
_cell_angle_alpha 90.00
_cell_angle_beta 90.00
_cell_angle_gamma 120.00
loop_
_atom_site_label
_atom_site_type_symbol
_atom_site_fract_x
_atom_site_fract_y
_atom_site_fract_z
Tm1 Tm 0.0000 0.0000 0.0000
Cd1 Cd 0.0000 0.0000 0.0954
Au1 Au 0.0000 0.0000 0.5000
```

---

3.
Density functional theory data (PBE) for Mn4ZnGaN after structural relaxation.

## Properties
Magnetization   9.07 μB per formula unit
E_form (uncorrected)   -0.360 eV per formula unit

The structure in CIF format:
```
data_Mn4ZnGaN
_symmetry_space_group_name_H-M 'C m c m'
_symmetry_Int_Tables_number 63
_symmetry_space_group_name_Hall '-C 2c 2'
_cell_length_a 5.257
_cell_length_b 12.990
_cell_length_c 5.272
_cell_angle_alpha 90.00
_cell_angle_beta 90.00
_cell_angle_gamma 90.00
loop_
_atom_site_label
_atom_site_type_symbol
_atom_site_fract_x
_atom_site_fract_y
_atom_site_fract_z
Mn1 Mn 0.000 0.088 0.250
Mn2 Mn 0.000 0.409 0.250
Mn3 Mn 0.250 0.250 0.000
Zn1 Zn 0.000 0.394 0.750
Ga1 Ga 0.000 0.107 0.750
N1 N 0.000 0.249 0.250
```

---

4.
Density functional theory data (PBE) for Li3Ca3BiPb2 after structural relaxation.

## Properties
Formation enthalpy at 0 K   -0.543 eV per atom
Magnetization   0.00 μB per formula unit

The structure in CIF format:
```
data_Li3Ca3BiPb2
_symmetry_space_group_name_H-M 'P -6 2 m'
_symmetry_Int_Tables_number 189
_symmetry_space_group_name_Hall 'P -6 -2'
_cell_length_a 7.5502
_cell_length_b 7.5502
_cell_length_c 4.8639
_cell_angle_alpha 90.00
_cell_angle_beta 90.00
_cell_angle_gamma 120.00
loop_
_atom_site_label
_atom_site_type_symbol
_atom_site_fract_x
_atom_site_fract_y
_atom_site_fract_z
Li1 Li 0.0000 0.2272 0.0000
Ca1 Ca 0.0000 0.5586 0.5000
Bi1 Bi 0.0000 0.0000 0.5000
Pb1 Pb 0.3333 0.6667 0.0000
```

---

5.
Density functional theory data (PBE) for ErNi3B3 after structural relaxation.

## Properties
Formation enthalpy at 0 K   -0.201 eV per atom
Magnetization   0.00 μB per formula unit

The structure in CIF format:
```
data_ErNi3B3
_symmetry_space_group_name_H-M 'P 63/m'
_symmetry_Int_Tables_number 176
_symmetry_space_group_name_Hall '-P 6c'
_cell_length_a 7.6116
_cell_length_b 7.6116
_cell_length_c 3.1617
_cell_angle_alpha 90.00
_cell_angle_beta 90.00
_cell_angle_gamma 120.00
loop_
_atom_site_label
_atom_site_type_symbol
_atom_site_fract_x
_atom_site_fract_y
_atom_site_fract_z
Er1 Er 0.3333 0.6667 0.2500
Ni1 Ni 0.0814 0.3322 0.7500
B1 B 0.0398 0.5927 0.7500
```

---

6.
Density functional theory data (PBE) for ZnGa4Pd7 after structural relaxation.

## Properties
Formation enthalpy at 0 K   -0.432 eV per atom
Magnetization   0.00 μB per formula unit

The structure in CIF format:
```
data_ZnGa4Pd7
_symmetry_space_group_name_H-M 'C 1 2/m 1'
_symmetry_Int_Tables_number 12
_cell_length_a 11.854
_cell_length_b 4.584
_cell_length_c 9.128
_cell_angle_alpha 90.00
_cell_angle_beta 127.07
_cell_angle_gamma 90.00
loop_
_symmetry_equiv_pos_as_xyz
'x,y,z'
'-x,-y,-z'
'-x,y,-z'
'x,-y,z'
'x+1/2,y+1/2,z'
'-x+1/2,-y+1/2,-z'
'-x+1/2,y+1/2,-z'
'x+1/2,-y+1/2,z'
loop_
_atom_site_label
_atom_site_type_symbol
_atom_site_fract_x
_atom_site_fract_y
_atom_site_fract_z
Zn1 Zn 0.000 0.000 0.000
Ga1 Ga 0.079 0.500 0.785
Ga2 Ga 0.216 0.500 0.339
Pd1 Pd 0.000 0.500 0.000
Pd2 Pd 0.076 0.000 0.324
Pd3 Pd 0.144 0.500 0.568
Pd4 Pd 0.214 0.000 0.870
```

---

7.
Density functional theory data (PBE) for Ac2PrErAs4 after structural relaxation.

## Properties
Formation enthalpy at 0 K   -1.459 eV per atom
Magnetization   0.00 μB per formula unit

The structure in CIF format:
```
data_Ac2PrErAs4
_symmetry_space_group_name_H-M 'P 1 2/m 1'
_symmetry_Int_Tables_number 10
_cell_length_a 7.574
_cell_length_b 4.378
_cell_length_c 7.583
_cell_angle_alpha 90.00
_cell_angle_beta 109.43
_cell_angle_gamma 90.00
loop_
_symmetry_equiv_pos_as_xyz
'x,y,z'
'-x,-y,-z'
'-x,y,-z'
'x,-y,z'
loop_
_atom_site_label
_atom_site_type_symbol
_atom_site_fract_x
_atom_site_fract_y
_atom_site_fract_z
Ac1 Ac 0.000 0.000 0.000
Ac2 Ac 0.500 0.500 0.000
Pr1 Pr 0.000 0.500 0.500
Er1 Er 0.500 0.000 0.500
As1 As 0.251 0.000 0.733
As2 As 0.263 0.500 0.271
```

---

8.
Density functional theory data (PBE) for Tb2Nd6Ho3In after structural relaxation.

## Properties
Formation enthalpy at 0 K   -0.039 eV per atom
Magnetization   0.00 μB per formula unit

The structure in CIF format:
```
data_Tb2Nd6Ho3In
_symmetry_space_group_name_H-M 'C 1 2/m 1'
_symmetry_Int_Tables_number 12
_cell_length_a 6.198
_cell_length_b 10.761
_cell_length_c 11.820
_cell_angle_alpha 90.00
_cell_angle_beta 100.17
_cell_angle_gamma 90.00
loop_
_symmetry_equiv_pos_as_xyz
'x,y,z'
'-x,-y,-z'
'-x,y,-z'
'x,-y,z'
'x+1/2,y+1/2,z'
'-x+1/2,-y+1/2,-z'
'-x+1/2,y+1/2,-z'
'x+1/2,-y+1/2,z'
loop_
_atom_site_label
_atom_site_type_symbol
_atom_site_fract_x
_atom_site_fract_y
_atom_site_fract_z
Tb1 Tb 0.000 0.167 0.000
Nd1 Nd 0.244 0.500 0.750
Nd2 Nd 0.246 0.336 0.249
Ho1 Ho 0.000 0.000 0.500
Ho2 Ho 0.000 0.332 0.500
In1 In 0.000 0.500 0.000
```